1.
First-principles (PBE) data for a geometry-optimized CaPrAsS structure, as listed in the Alexandria database.

```
CaPrAsS
1.0
4.225 0.000 0.000
-2.112 3.659 0.000
0.000 0.000 20.470
Ca Pr As S
3 3 3 3
Direct
0.000 0.000 0.000 Ca
0.333 0.667 0.667 Ca
0.667 0.333 0.333 Ca
0.000 0.000 0.501 Pr
0.333 0.667 0.168 Pr
0.667 0.333 0.835 Pr
0.000 0.000 0.249 As
0.333 0.667 0.916 As
0.667 0.333 0.582 As
0.000 0.000 0.749 S
0.333 0.667 0.416 S
0.667 0.333 0.083 S
```

Calculated values
Its space group is R3m, No. 160. Its total energy is -67.39 eV per cell.

=====

2.
First-principles (PBE) data for a geometry-optimized CaPrSm2As4 structure, as listed in the Alexandria database.

```
CaPrSm2As4
1.0
6.000 0.000 0.000
0.000 6.000 0.000
0.000 0.000 12.035
Ca Pr Sm As
2 2 4 8
Direct
0.000 0.000 0.000 Ca
0.500 0.500 0.500 Ca
0.000 0.000 0.500 Pr
0.500 0.500 0.000 Pr
0.000 0.500 0.250 Sm
0.000 0.500 0.750 Sm
0.500 0.000 0.250 Sm
0.500 0.000 0.750 Sm
0.000 0.000 0.252 As
0.000 0.000 0.748 As
0.000 0.500 0.000 As
0.000 0.500 0.500 As
0.500 0.000 0.000 As
0.500 0.000 0.500 As
0.500 0.500 0.248 As
0.500 0.500 0.752 As
```

Calculated values
Its space group is I4/mmm, No. 139. The formation energy comes out at -10.8 eV per formula unit.